1.
DFT (PBEsol) results for a relaxed structure of Cr2CoO4.

a b c (Å): 8.2793 8.2793 8.2793
angles (deg): 90.00 90.00 90.00
Closest atoms and distances in Å follow each position.
Space group Fd-3m (No. 227, origin choice 2)
Inequivalent atoms, fractional coordinates:
Cr 0.0000 0.0000 0.0000  6 O 1.98
Co 0.1250 0.1250 0.6250  4 O 1.95
O 0.0110 0.0110 0.2390  1 Co 1.95, 3 Cr 1.98

Results
- Density of states at the Fermi level: 4.94 states/eV/f.u.
- ΔE_f (raw): -1525 meV per atom


2.
DFT (PBEsol) results for a relaxed structure of Cr3CoP6O24.

a b c (Å): 8.1397 8.1397 21.2879
angles (deg): 90.00 90.00 120.00
Closest atoms and distances in Å follow each position.
Space group R3 (No. 146, hexagonal axes)
Inequivalent atoms, fractional coordinates:
Cr 0.0000 0.0000 0.0000  6 O 1.85-1.87
Cr 0.0000 0.0000 0.2148  6 O 1.83-1.84
Cr 0.0000 0.0000 0.4935  6 O 1.83-1.84
Co 0.0000 0.0000 0.7085  6 O 1.84-1.88
P 0.0516 0.3803 0.7703  4 O 1.52-1.55
P 0.0581 0.6710 0.2733  4 O 1.54
O 0.0054 0.8183 0.5438  1 P 1.54
O 0.0165 0.1895 0.4433  1 P 1.54
O 0.0730 0.2102 0.0503  1 P 1.55
O 0.0872 0.2155 0.7599  1 P 1.52
O 0.1501 0.4774 0.8322  1 P 1.54
O 0.1586 0.6776 0.9327  1 P 1.54
O 0.1929 0.7447 0.6185  1 P 1.54
O 0.2056 0.7529 0.3264  1 P 1.54

Results
- Density of states at the Fermi level: 11.99 states/eV/f.u.
- ΔE_f (raw): -1871 meV per atom


3.
DFT (PBEsol) results for a relaxed structure of Cr3CoP4O16.

a b c (Å): 4.6341 5.5340 9.6863
angles (deg): 90.00 90.21 90.00
Closest atoms and distances in Å follow each position.
Space group Pm (No. 6)
Inequivalent atoms, fractional coordinates:
Cr 0.0000 0.0000 0.0000  6 O 1.90-2.03
Cr 0.0931 0.5000 0.4660  6 O 1.88-2.02
Cr 0.4987 0.5000 0.9615  6 O 1.90-2.03
Co 0.5911 0.0000 0.5005  6 O 1.86-1.99
P 0.1485 0.0000 0.3252  4 O 1.52-1.59
P 0.4372 0.0000 0.8148  4 O 1.51-1.59
P 0.6545 0.5000 0.6434  4 O 1.52-1.59
P 0.9375 0.5000 0.1445  4 O 1.51-1.59
O 0.2173 0.0000 0.1722  1 P 1.52
O 0.2602 0.5000 0.1211  1 P 1.51
O 0.2803 0.2139 0.8953  1 P 1.59
O 0.3111 0.2140 0.4034  1 P 1.59
O 0.3295 0.5000 0.6244  1 P 1.52
O 0.3626 0.0000 0.6625  1 P 1.51
O 0.7291 0.5000 0.7959  1 P 1.52
O 0.7603 0.0000 0.8399  1 P 1.52
O 0.7795 0.2853 0.0660  1 P 1.59
O 0.8098 0.2837 0.5649  1 P 1.59
O 0.8229 0.0000 0.3438  1 P 1.52
O 0.8698 0.5000 0.2974  1 P 1.51

Results
- Density of states at the Fermi level: 1.42 states/eV/f.u.
- ΔE_f (raw): -1945 meV per atom


4.
DFT (PBEsol) results for a relaxed structure of V3CrCo2P6O24.

a b c (Å): 8.4957 8.4957 20.1574
angles (deg): 90.00 90.00 120.00
Closest atoms and distances in Å follow each position.
Space group R3 (No. 146, hexagonal axes)
Inequivalent atoms, fractional coordinates:
V 0.0000 0.0000 0.0000  6 O 1.87-1.97
V 0.0000 0.0000 0.2201  6 O 1.86-1.96
V 0.0000 0.0000 0.5001  6 O 1.87-1.97
Cr 0.0000 0.0000 0.7220  6 O 1.90-1.97
Co 0.0000 0.0000 0.3592  6 O 2.12-2.14
Co 0.0000 0.0000 0.8613  6 O 2.12
P 0.9998 0.2890 0.6111  4 O 1.51-1.56
P 0.9995 0.7085 0.1102  4 O 1.53-1.56
O 0.0026 0.1932 0.6737  1 P 1.51
O 0.0089 0.8167 0.1723  1 P 1.53
O 0.0173 0.1823 0.2838  1 P 1.56
O 0.0209 0.8361 0.7862  1 P 1.55
O 0.1466 0.4751 0.2144  1 P 1.53
O 0.1472 0.6713 0.7146  1 P 1.53
O 0.1693 0.4824 0.6027  1 P 1.56
O 0.1695 0.6861 0.1023  1 P 1.56

Results
- Density of states at the Fermi level: 28.21 states/eV/f.u.
- ΔE_f (raw): -2042 meV per atom


5.
DFT (PBEsol) results for a relaxed structure of CrCo4SbO8.

a b c (Å): 10.4165 5.5753 5.9540
angles (deg): 90.00 122.65 90.00
Closest atoms and distances in Å follow each position.
Space group C2/m (No. 12)
Inequivalent atoms, fractional coordinates:
Cr 0.0000 0.0000 0.0000  6 O 1.98-1.99
Co 0.1547 0.5000 0.4207  4 O 1.93-1.98
Co 0.2500 0.2500 0.0000  4 O 1.92-1.95
Sb 0.0000 0.0000 0.5000  6 O 2.01-2.05
O 0.0030 0.2397 0.2503  1 Co 1.98, 1 Cr 1.99, 1 Sb 2.01
O 0.2253 0.0000 0.1950  3 Co 1.92-1.93, 1 Cr 1.98
O 0.2324 0.0000 0.7570  3 Co 1.95-1.96, 1 Sb 2.05

Results
- Density of states at the Fermi level: 6.40 states/eV/f.u.
- ΔE_f (raw): -1040 meV per atom


6.
DFT (PBEsol) results for a relaxed structure of Cr3Co3Te2O16.

a b c (Å): 9.7635 5.6740 9.1739
angles (deg): 90.00 91.73 90.00
Closest atoms and distances in Å follow each position.
Space group Cm (No. 8)
Inequivalent atoms, fractional coordinates:
Cr 0.0000 0.0000 0.0000  6 O 1.83-1.99
Cr 0.4120 0.2393 0.5031  6 O 1.85-1.99
Co 0.1570 0.5000 0.5104  6 O 1.88-1.95
Co 0.2412 0.2442 0.0096  6 O 1.86-1.94
Te 0.9997 0.5000 0.2263  6 O 1.93-2.07
Te 0.1659 0.0000 0.7312  6 O 1.92-2.06
O 0.0734 0.2773 0.3855  1 Co 1.88, 1 Cr 1.94, 1 Te 2.05
O 0.0875 0.2284 0.8809  1 Co 1.88, 1 Cr 1.91, 1 Te 2.05
O 0.1624 0.0000 0.1138  2 Co 1.86, 1 Cr 1.87
O 0.1725 0.5000 0.1252  2 Co 1.93, 1 Te 1.95
O 0.2497 0.2564 0.6257  1 Te 1.94, 1 Co 1.95, 1 Cr 1.97
O 0.3121 0.0000 0.8976  2 Co 1.87, 1 Te 2.06
O 0.3264 0.5000 0.4194  2 Cr 1.85, 1 Co 1.88
O 0.3259 0.5000 0.9210  1 Cr 1.83, 2 Co 1.87
O 0.3433 0.0000 0.3743  2 Cr 1.91, 1 Te 2.07
O 0.4114 0.2586 0.1237  1 Te 1.93, 1 Co 1.94, 1 Cr 1.99
O 0.4954 0.5000 0.6212  1 Te 1.92, 2 Cr 1.99
O 0.4957 0.0000 0.6164  1 Co 1.88, 2 Cr 1.88

Results
- Density of states at the Fermi level: 5.81 states/eV/f.u.
- ΔE_f (raw): -1274 meV per atom


density of states at the Fermi level of number 4 (V3CrCo2P6O24)?
28.21 states/eV/f.u.


What is the density of states at the Fermi level in the sixth record?
5.81 states/eV/f.u.